The following is a PBE-GGA calculation of a geometry-optimized Pm5SiSb structure, from Alexandria.

a b c (Å): 6.232 6.232 11.199
angles (deg): 93.87 93.87 78.09
Sites, in units of the cell vectors:
Pm (0.003, 0.580, 0.347)
Pm (0.084, 0.916, 0.750)
Pm (0.235, 0.520, 0.994)
Pm (0.420, 0.997, 0.153)
Pm (0.480, 0.765, 0.506)
Pm (0.520, 0.235, 0.494)
Pm (0.580, 0.003, 0.847)
Pm (0.765, 0.480, 0.006)
Pm (0.916, 0.084, 0.250)
Pm (0.997, 0.420, 0.653)
Si (0.000, 0.000, 0.000)
Si (0.000, 0.000, 0.500)
Sb (0.494, 0.506, 0.750)
Sb (0.506, 0.494, 0.250)

Output
E_tot = -71.85 eV per cell
total magnetic moment = 0.000 μB per atom
ΔE_f (raw) = -375 meV/atom